[1]
# SnHPd3

SnHPd3 after structural relaxation (PBE-GGA, Alexandria).

Computed properties:
The calculation puts the density at 7.57 g cm⁻³. The total moment is 0.00 μB per formula unit. The calculation puts the density of states at the Fermi level at 0.66 states/eV/atom. The final energy comes out at -22.87 eV per cell. Its crystal system is tetragonal.

a = 3.899 Å, b = 3.899 Å, c = 6.337 Å
α = 90.00°, β = 90.00°, γ = 90.00°
Space group P4mm (No. 99)
Unique sites:
Sn: 0.000 0.000 0.000 (multiplicity 1)
H: 0.500 0.500 0.308 (multiplicity 1)
Pd: 0.000 0.000 0.603 (multiplicity 1)
Pd: 0.000 0.500 0.294 (multiplicity 2)

[2]
# TiAgF3

TiAgF3 after structural relaxation (PBE-GGA, Alexandria).

Computed properties:
As for the raw formation energy: -4.80 eV per formula unit. The calculation puts the density at 4.11 g cm⁻³. The total moment is 2.25 μB per formula unit. The calculation puts the density of states at the Fermi level at 0.73 states/eV/atom. The final energy comes out at -21.16 eV per cell. Its crystal system is cubic.

a = 4.414 Å, b = 4.414 Å, c = 4.414 Å
α = 90.00°, β = 90.00°, γ = 90.00°
Space group Pm-3m (No. 221)
Unique sites:
Ti: 0.000 0.000 0.000 (multiplicity 1)
Ag: 0.500 0.500 0.500 (multiplicity 1)
F: 0.000 0.500 0.500 (multiplicity 3)

[3]
# CeEuDy2

CeEuDy2 after structural relaxation (PBE-GGA, Alexandria).

Computed properties:
The calculation puts the density at 7.79 g cm⁻³. The total moment is 7.19 μB per formula unit. The calculation puts the density of states at the Fermi level at 1.74 states/eV/atom. The final energy comes out at -74.11 eV per cell. Its crystal system is trigonal.

a = 3.5026 Å, b = 3.5026 Å, c = 37.1262 Å
α = 90.00°, β = 90.00°, γ = 120.00°
Space group R-3m (No. 166, hexagonal axes)
Unique sites:
Ce: 0.0000 0.0000 0.0000 (multiplicity 3)
Eu: 0.0000 0.0000 0.5000 (multiplicity 3)
Dy: 0.0000 0.0000 0.4079 (multiplicity 6)

[4]
# Zr3InOs2

Zr3InOs2 after structural relaxation (PBE-GGA, Alexandria).

Computed properties:
The calculation puts the density at 10.95 g cm⁻³. The total moment is 0.00 μB per formula unit. The calculation puts the density of states at the Fermi level at 0.53 states/eV/atom. The final energy comes out at -53.42 eV per cell. Its crystal system is tetragonal.

a = 3.232 Å, b = 3.232 Å, c = 11.161 Å
α = 90.00°, β = 90.00°, γ = 90.00°
Space group P4/mmm (No. 123)
Unique sites:
Zr: 0.000 0.000 0.000 (multiplicity 1)
Zr: 0.000 0.000 0.299 (multiplicity 2)
In: 0.500 0.500 0.500 (multiplicity 1)
Os: 0.500 0.500 0.150 (multiplicity 2)

[5]
# KNdO2

KNdO2 after structural relaxation (PBE-GGA, Alexandria).

Computed properties:
As for the raw formation energy: -10.43 eV per formula unit. The calculation puts the density at 4.92 g cm⁻³. The total moment is 0.00 μB per formula unit. The calculation puts the density of states at the Fermi level at 0.00 states/eV/atom. The final energy comes out at -78.65 eV per cell. Its crystal system is trigonal.

a = 3.6447 Å, b = 3.6447 Å, c = 18.9407 Å
α = 90.00°, β = 90.00°, γ = 120.00°
Space group R-3m (No. 166, hexagonal axes)
Unique sites:
K: 0.0000 0.0000 0.0000 (multiplicity 3)
Nd: 0.0000 0.0000 0.5000 (multiplicity 3)
O: 0.0000 0.0000 0.2304 (multiplicity 6)

[6]
# Pa3Cu4Ge4

Pa3Cu4Ge4 after structural relaxation (PBE-GGA, Alexandria).

Computed properties:
The calculation puts the density at 10.24 g cm⁻³. The total moment is 0.00 μB per formula unit. The calculation puts the density of states at the Fermi level at 1.03 states/eV/atom. The final energy comes out at -134.45 eV per cell. Its crystal system is monoclinic.

a = 24.792 Å, b = 4.000 Å, c = 4.107 Å
α = 90.00°, β = 99.52°, γ = 90.00°
Space group C2/m (No. 12)
Unique sites:
Pa: 0.000 0.000 0.000 (multiplicity 2)
Pa: 0.147 0.000 0.646 (multiplicity 4)
Cu: 0.097 0.500 0.096 (multiplicity 4)
Cu: 0.250 0.000 0.251 (multiplicity 4)
Ge: 0.051 0.500 0.550 (multiplicity 4)
Ge: 0.193 0.500 0.192 (multiplicity 4)

[7]
# YPuBi2

YPuBi2 after structural relaxation (PBE-GGA, Alexandria).

Computed properties:
The calculation puts the density at 10.66 g cm⁻³. The total moment is 5.92 μB per formula unit. The calculation puts the density of states at the Fermi level at 2.83 states/eV/atom. The final energy comes out at -30.57 eV per cell. Its crystal system is tetragonal.

a = 5.856 Å, b = 5.856 Å, c = 3.410 Å
α = 90.00°, β = 90.00°, γ = 90.00°
Space group P4/mmm (No. 123)
Unique sites:
Y: 0.000 0.000 0.000 (multiplicity 1)
Pu: 0.500 0.500 0.000 (multiplicity 1)
Bi: 0.000 0.500 0.500 (multiplicity 2)

[8]
# Sr2NiHg

Sr2NiHg after structural relaxation (PBE-GGA, Alexandria).

Computed properties:
The calculation puts the density at 5.51 g cm⁻³. The total moment is 0.00 μB per formula unit. The calculation puts the density of states at the Fermi level at 0.97 states/eV/atom. The final energy comes out at -9.32 eV per cell. Its crystal system is tetragonal.

a = 4.506 Å, b = 4.506 Å, c = 6.451 Å
α = 90.00°, β = 90.00°, γ = 90.00°
Space group P4mm (No. 99)
Unique sites:
Sr: 0.000 0.000 0.000 (multiplicity 1)
Sr: 0.500 0.500 0.446 (multiplicity 1)
Ni: 0.500 0.500 0.948 (multiplicity 1)
Hg: 0.000 0.000 0.513 (multiplicity 1)

- Which value of total moment does entry 2 give?
  2.25 μB per formula unit